Here is a relaxed structure of BaCa2AgH from the Alexandria database. Energies are from PBE.

```
BaCa2AgH
1.0
5.005 0.000 0.000
0.000 5.657 0.000
0.000 0.000 5.005
Ba Ag Ca H
1 1 2 1
Direct
0.000 0.500 0.000
0.500 0.500 0.500
0.000 0.000 0.500
0.500 0.000 0.000
0.000 0.000 0.000
```

Computed properties:
Total energy ... -2.59 eV per atom
Total magnetic moment ... 0.0 μB per formula unit
Space group ... P4/mmm